Crystalline Ac2OsPdO8 at its relaxed geometry. Source: the Alexandria database, functional PBE-GGA.

Results
- E_form (uncorrected): -1.885 eV/atom
- Crystal system: triclinic
- Uncorrected energy: -86.920 eV for the cell shown
- N(E_F): 5.1 states/eV per cell

```
12
Lattice="4.467 0.000 0.000 0.605 5.386 0.000 0.470 0.753 7.230" Properties=species:S:1:pos:R:3 pbc="T T T"
Ac 1.022 0.275 1.708
Ac 4.520 5.864 5.522
Os 2.771 3.070 3.615
Pd 2.536 2.693 0.000
O 1.559 4.362 4.088
O 2.211 5.253 6.746
O 1.755 1.720 4.399
O 1.824 2.880 1.898
O 3.718 3.260 5.333
O 3.786 4.420 2.832
O 3.330 0.886 0.484
O 3.983 1.777 3.143
```

Crystalline AcPmOsO6 at its relaxed geometry. Source: the Alexandria database, functional PBE-GGA.

Results
- E_form (uncorrected): -2.272 eV/atom
- Crystal system: trigonal
- Uncorrected energy: -140.569 eV for the cell shown
- N(E_F): 8.4 states/eV per cell

```
18
Lattice="5.869 0.000 0.000 -2.935 5.083 0.000 0.000 0.000 9.207" Properties=species:S:1:pos:R:3 pbc="T T T"
Ac 0.000 3.389 2.302
Ac 2.935 1.694 6.905
Pm 0.000 0.000 0.000
Pm 0.000 0.000 4.603
Os 0.000 3.389 6.905
Os 2.935 1.694 2.302
O -0.710 1.939 5.808
O -1.610 3.499 8.003
O 0.710 1.939 8.003
O -0.900 4.728 5.808
O 2.034 0.355 1.204
O 1.324 1.584 3.399
O 1.610 3.499 5.808
O 0.900 4.728 8.003
O 3.835 0.355 3.399
O 2.225 3.144 1.204
O 4.545 1.584 1.204
O 3.644 3.144 3.399
```

Crystalline Ac2PmOsO8 at its relaxed geometry. Source: the Alexandria database, functional PBE-GGA.

Results
- E_form (uncorrected): -2.400 eV/atom
- Crystal system: monoclinic
- Uncorrected energy: -92.668 eV for the cell shown
- N(E_F): 2.5 states/eV per cell

```
12
Lattice="5.284 0.000 0.000 0.000 7.195 0.000 -0.059 0.000 5.418" Properties=species:S:1:pos:R:3 pbc="T T T"
Ac 0.000 1.759 0.000
Ac 0.000 5.436 0.000
Pm 2.612 3.597 2.709
Os 2.612 0.000 2.709
O 1.000 3.597 1.089
O 1.268 0.000 1.436
O 1.723 1.457 3.660
O 1.723 5.738 3.660
O 3.502 1.457 1.758
O 3.502 5.738 1.758
O 3.957 0.000 3.982
O 4.225 3.597 4.329
```

Crystalline AcPrOsO6 at its relaxed geometry. Source: the Alexandria database, functional PBE-GGA.

Results
- E_form (uncorrected): -2.256 eV/atom
- Crystal system: trigonal
- Uncorrected energy: -140.338 eV for the cell shown
- N(E_F): 8.8 states/eV per cell

```
18
Lattice="5.891 0.000 0.000 -2.946 5.102 0.000 0.000 0.000 9.385" Properties=species:S:1:pos:R:3 pbc="T T T"
Ac 0.000 3.401 2.346
Ac 2.946 1.701 7.039
Pr 0.000 0.000 0.000
Pr 0.000 0.000 4.693
Os 0.000 3.401 7.039
Os 2.946 1.701 2.346
O -0.726 1.959 5.942
O -1.612 3.494 8.136
O 0.726 1.959 8.136
O -0.886 4.751 5.942
O 2.060 0.351 1.249
O 1.334 1.608 3.444
O 1.612 3.494 5.942
O 0.886 4.751 8.136
O 3.832 0.351 3.444
O 2.220 3.143 1.249
O 4.558 1.608 1.249
O 3.672 3.143 3.444
```

Crystalline RbAcOs2O8 at its relaxed geometry. Source: the Alexandria database, functional PBE-GGA.

Results
- E_form (uncorrected): -1.548 eV/atom
- Crystal system: trigonal
- Uncorrected energy: -85.771 eV for the cell shown
- N(E_F): 0.4 states/eV per cell

```
12
Lattice="6.202 0.000 0.000 -3.101 5.371 0.000 0.000 0.000 8.284" Properties=species:S:1:pos:R:3 pbc="T T T"
Rb 0.000 0.000 0.000
Ac 0.000 0.000 4.142
Os 0.000 3.581 6.416
Os 3.101 1.790 1.867
O -0.010 1.884 5.746
O -1.465 4.438 5.746
O 0.000 3.581 8.182
O 1.626 0.950 2.538
O 1.475 4.421 5.746
O 3.101 1.790 0.102
O 4.566 0.933 2.538
O 3.111 3.488 2.538
```

Crystalline Rb2AcOsO8 at its relaxed geometry. Source: the Alexandria database, functional PBE-GGA.

Results
- E_form (uncorrected): -1.115 eV/atom
- Crystal system: trigonal
- Uncorrected energy: -70.322 eV for the cell shown
- N(E_F): 5.7 states/eV per cell

```
12
Lattice="6.230 0.000 0.000 -3.115 5.396 0.000 0.000 0.000 6.527" Properties=species:S:1:pos:R:3 pbc="T T T"
Rb 0.000 3.597 2.577
Rb 3.115 1.799 3.950
Ac 0.000 0.000 0.000
Os 0.000 0.000 3.264
O 0.000 1.489 4.409
O -1.826 4.651 4.409
O 1.289 0.744 2.118
O 0.000 3.597 6.498
O 3.115 1.799 0.030
O 1.826 4.651 4.409
O 4.941 0.744 2.118
O 3.115 3.907 2.118
```

Crystalline Rb2AcOsO6 at its relaxed geometry. Source: the Alexandria database, functional PBE-GGA.

Results
- E_form (uncorrected): -1.852 eV/atom
- Crystal system: cubic
- Uncorrected energy: -65.543 eV for the cell shown
- N(E_F): 4.3 states/eV per cell

```
10
Lattice="0.000 4.394 4.394 4.394 0.000 4.394 4.394 4.394 0.000" Properties=species:S:1:pos:R:3 pbc="T T T"
Rb 2.197 2.197 2.197
Rb 6.590 6.590 6.590
Ac 0.000 0.000 0.000
Os 4.394 4.394 4.394
O 4.394 4.394 2.483
O 4.394 2.483 4.394
O 6.304 4.394 4.394
O 2.483 4.394 4.394
O 4.394 6.304 4.394
O 4.394 4.394 6.304
```

Crystalline Rb3AcOs2O9 at its relaxed geometry. Source: the Alexandria database, functional PBE-GGA.

Results
- E_form (uncorrected): -1.623 eV/atom
- Crystal system: trigonal
- Uncorrected energy: -98.444 eV for the cell shown
- N(E_F): 3.6 states/eV per cell

```
15
Lattice="5.921 0.000 0.000 -2.961 5.128 0.000 0.000 0.000 7.511" Properties=species:S:1:pos:R:3 pbc="T T T"
Rb 0.000 0.000 0.000
Rb 0.000 3.419 5.068
Rb 2.961 1.709 2.443
Ac 0.000 0.000 3.755
Os 0.000 3.419 1.080
Os 2.961 1.709 6.431
O -1.480 2.564 0.000
O 0.000 1.890 2.199
O -1.324 4.183 2.199
O 1.637 0.945 5.311
O 2.961 0.000 0.000
O 1.480 2.564 0.000
O 1.324 4.183 2.199
O 4.284 0.945 5.311
O 2.961 3.238 5.311
```

Which value of E_form (uncorrected) does entry 8 give?
-1.623 eV/atom

What is the N(E_F) in the third record?
2.5 states/eV per cell

Among the records above, which one has the lowest E_form (uncorrected)?
Ac2PmOsO8

What did the sixth record say?
Crystalline Rb2AcOsO8 at its relaxed geometry. Source: the Alexandria database, functional PBE-GGA.

Results
- E_form (uncorrected): -1.115 eV/atom
- Crystal system: trigonal
- Uncorrected energy: -70.322 eV for the cell shown
- N(E_F): 5.7 states/eV per cell

```
12
Lattice="6.230 0.000 0.000 -3.115 5.396 0.000 0.000 0.000 6.527" Properties=species:S:1:pos:R:3 pbc="T T T"
Rb 0.000 3.597 2.577
Rb 3.115 1.799 3.950
Ac 0.000 0.000 0.000
Os 0.000 0.000 3.264
O 0.000 1.489 4.409
O -1.826 4.651 4.409
O 1.289 0.744 2.118
O 0.000 3.597 6.498
O 3.115 1.799 0.030
O 1.826 4.651 4.409
O 4.941 0.744 2.118
O 3.115 3.907 2.118
```